Computed, not measured: a relaxed ZnAsPO crystal at the PBE-GGA level of DFT.

Calculated total energy   -4.26 eV/atom
Crystal system   tetragonal
Polymorph energy (0 for the lowest one)   400 meV/atom

Lattice parameters (Å, degrees): 3.7237 3.7237 8.4221 90.00 90.00 90.00
With the nearest neighbours (Å) after each atom.
Fractional coordinates of all 8 atoms:
As: 0.0000 0.5000 0.1272  4 O 2.15
As: 0.5000 0.0000 0.8728  4 O 2.15
O: 0.0000 0.0000 0.0000  4 As 2.15
O: 0.5000 0.5000 0.0000  4 As 2.15
P: 0.5000 0.0000 0.3122  4 Zn 2.44
P: 0.0000 0.5000 0.6878  4 Zn 2.44
Zn: 0.0000 0.0000 0.5000  4 P 2.44, 4 Zn 2.63
Zn: 0.5000 0.5000 0.5000  4 P 2.44, 4 Zn 2.63

Computed, not measured: a relaxed CoAsIrPd crystal at the PBE-GGA level of DFT.

Calculated total energy   -6.29 eV/atom
Magnetization   1.71 μB/cell
Crystal system   cubic
Polymorph energy (0 for the lowest one)   0 meV/atom

Lattice parameters (Å, degrees): 4.3187 4.3187 4.3187 60.00 60.00 60.00
With the nearest neighbours (Å) after each atom.
Fractional coordinates of all 4 atoms:
As: 0.0000 0.0000 0.0000  4 Ir 2.64, 4 Co 2.64
Co: 0.7500 0.7500 0.7500  4 Pd 2.64, 4 As 2.64
Ir: 0.2500 0.2500 0.2500  4 As 2.64, 4 Pd 2.64
Pd: 0.5000 0.5000 0.5000  4 Co 2.64, 4 Ir 2.64

Computed, not measured: a relaxed Cs2Gd2Al2O7 crystal at the PBE-GGA level of DFT.

Calculated total energy   -6.58 eV/atom
Magnetization   0.00 μB/cell
Crystal system   orthorhombic

Lattice parameters (Å, degrees): 7.3327 7.3327 7.3327 132.87 96.86 101.55
With the nearest neighbours (Å) after each atom.
Fractional coordinates of all 13 atoms:
Al: 0.2759 0.9377 0.3382  4 O 1.75-1.81
Al: 0.5994 0.9377 0.6618  4 O 1.75-1.81
Cs: 0.1845 0.1845 0.0000  8 O 3.29
Cs: 0.8719 0.3719 0.5000  5 O 2.95-3.13
Gd: 0.8134 0.6168 0.1965  3 O 2.02-2.07
Gd: 0.4203 0.6168 0.8035  3 O 2.02-2.07
O: 0.7448 0.2216 0.0018  1 Al 1.76
O: 0.1113 0.7508 0.3606  1 Al 1.75
O: 0.2198 0.2216 0.4768  1 Al 1.76
O: 0.5344 0.0344 0.5000  2 Al 1.81
O: 0.7448 0.7430 0.5232  1 Al 1.76
O: 0.3902 0.7508 0.6394  1 Al 1.75
O: 0.2198 0.7430 0.9982  1 Al 1.76

Computed, not measured: a relaxed GdMgTlS3 crystal at the PBE-GGA level of DFT.

Calculated total energy   -4.88 eV/atom
Magnetization   0.02 μB/cell
Crystal system   orthorhombic

Lattice parameters (Å, degrees): 10.9138 4.1086 14.2304 90.00 90.00 90.00
With the nearest neighbours (Å) after each atom.
Fractional coordinates of all 24 atoms:
Gd: 0.4911 0.7500 0.2464  6 S 2.77-2.87
Gd: 0.9911 0.7500 0.2536  6 S 2.77-2.87
Gd: 0.0089 0.2500 0.7464  6 S 2.77-2.87
Gd: 0.5089 0.2500 0.7536  6 S 2.77-2.87
Mg: 0.2409 0.2500 0.2141  4 S 2.40-2.47
Mg: 0.7409 0.2500 0.2859  4 S 2.40-2.47
Mg: 0.2591 0.7500 0.7141  4 S 2.40-2.47
Mg: 0.7591 0.7500 0.7859  4 S 2.40-2.47
S: 0.4277 0.2500 0.1254  1 Mg 2.40
S: 0.0504 0.2500 0.1290  1 Mg 2.41
S: 0.7420 0.7500 0.1891  2 Mg 2.47
S: 0.2420 0.7500 0.3109  2 Mg 2.47
S: 0.5504 0.2500 0.3710  1 Mg 2.41
S: 0.9277 0.2500 0.3746  1 Mg 2.40
S: 0.0723 0.7500 0.6254  1 Mg 2.40
S: 0.4496 0.7500 0.6290  1 Mg 2.41
S: 0.7580 0.2500 0.6891  2 Mg 2.47
S: 0.2580 0.2500 0.8109  2 Mg 2.47
S: 0.9496 0.7500 0.8710  1 Mg 2.41
S: 0.5723 0.7500 0.8746  1 Mg 2.40
Tl: 0.7655 0.2500 0.0026  7 S 3.37-3.59, 2 Mg 3.71
Tl: 0.2655 0.2500 0.4974  7 S 3.37-3.59, 2 Mg 3.71
Tl: 0.7345 0.7500 0.5026  7 S 3.37-3.59, 2 Mg 3.71
Tl: 0.2345 0.7500 0.9974  7 S 3.37-3.59, 2 Mg 3.71

Computed, not measured: a relaxed Zr2FeH6Ir crystal at the PBE-GGA level of DFT.

Calculated total energy   -5.66 eV/atom
Magnetization   0.53 μB/cell
Crystal system   cubic

Lattice parameters (Å, degrees): 4.9109 4.9109 4.9109 60.00 60.00 60.00
With the nearest neighbours (Å) after each atom.
Fractional coordinates of all 10 atoms:
Fe: 0.5000 0.5000 0.5000  6 H 1.66
H: 0.7396 0.2604 0.2604  1 Fe 1.66, 1 Ir 1.81
H: 0.2604 0.7396 0.2604  1 Fe 1.66, 1 Ir 1.81
H: 0.7396 0.7396 0.2604  1 Fe 1.66, 1 Ir 1.81
H: 0.2604 0.2604 0.7396  1 Fe 1.66, 1 Ir 1.81
H: 0.7396 0.2604 0.7396  1 Fe 1.66, 1 Ir 1.81
H: 0.2604 0.7396 0.7396  1 Fe 1.66, 1 Ir 1.81
Ir: 0.0000 0.0000 0.0000  6 H 1.81
Zr: 0.2500 0.2500 0.2500  12 H 2.46
Zr: 0.7500 0.7500 0.7500  12 H 2.46

Computed, not measured: a relaxed NaTePtAu crystal at the PBE-GGA level of DFT.

Calculated total energy   -3.55 eV/atom
Magnetization   0.00 μB/cell
Crystal system   cubic
Polymorph energy (0 for the lowest one)   0 meV/atom

Lattice parameters (Å, degrees): 4.8163 4.8163 4.8163 60.00 60.00 60.00
With the nearest neighbours (Å) after each atom.
Fractional coordinates of all 4 atoms:
Au: 0.5000 0.5000 0.5000  4 Pt 2.95, 4 Na 2.95
Na: 0.7500 0.7500 0.7500  4 Te 2.95, 4 Au 2.95
Pt: 0.2500 0.2500 0.2500  4 Au 2.95, 4 Te 2.95
Te: 0.0000 0.0000 0.0000  4 Na 2.95, 4 Pt 2.95

Computed, not measured: a relaxed Li4Ga2AgHg crystal at the PBE-GGA level of DFT.

Calculated total energy   -2.42 eV/atom
Crystal system   tetragonal

Lattice parameters (Å, degrees): 4.4813 4.4813 6.3425 90.00 90.00 90.00
With the nearest neighbours (Å) after each atom.
Fractional coordinates of all 8 atoms:
Ag: 0.0000 0.0000 0.0000  4 Ga 2.70, 4 Li 2.73
Ga: 0.5000 0.0000 0.2373  4 Li 2.70-2.79, 2 Ag 2.70, 2 Hg 2.79
Ga: 0.0000 0.5000 0.7627  4 Li 2.70-2.79, 2 Ag 2.70, 2 Hg 2.79
Hg: 0.5000 0.5000 0.5000  4 Li 2.76, 4 Ga 2.79
Li: 0.5000 0.5000 0.0000  4 Ga 2.70, 4 Li 2.73
Li: 0.0000 0.5000 0.2458  4 Li 2.73-2.76, 2 Ag 2.73, 2 Hg 2.76
Li: 0.0000 0.0000 0.5000  4 Li 2.76, 4 Ga 2.79
Li: 0.5000 0.0000 0.7542  4 Li 2.73-2.76, 2 Ag 2.73, 2 Hg 2.76

Computed, not measured: a relaxed Nb4AsSN2 crystal at the PBE-GGA level of DFT.

Calculated total energy   -8.99 eV/atom
Magnetization   0.00 μB/cell
Crystal system   hexagonal

Lattice parameters (Å, degrees): 3.3173 3.3173 11.7813 90.00 90.00 120.00
With the nearest neighbours (Å) after each atom.
Fractional coordinates of all 8 atoms:
As: 0.0000 0.0000 0.0000  6 Nb 2.70
N: 0.3333 0.6667 0.2547  6 Nb 2.20-2.21
N: 0.3333 0.6667 0.7453  6 Nb 2.20-2.21
Nb: 0.6667 0.3333 0.1616  3 N 2.21
Nb: 0.0000 0.0000 0.3466  3 N 2.20
Nb: 0.0000 0.0000 0.6534  3 N 2.20
Nb: 0.6667 0.3333 0.8384  3 N 2.21
S: 0.6667 0.3333 0.5000  6 Nb 2.63